Entry from the Alexandria database: Li2Ni7Ir2 after structural relaxation (PBE).

Cell: 4.3808 6.0717 6.0717 Å, 76.79 68.85 68.85°
With the nearest neighbours (Å) after each atom.
Positions (direct):
Ir 0.7421 0.7579 0.7579  8 Ni 2.45-2.53, 2 Li 2.53
Ir 0.2579 0.2421 0.2421  8 Ni 2.45-2.53, 2 Li 2.53
Ni 0.7576 0.0768 0.4080  4 Ni 2.40-2.54, 1 Li 2.41, 3 Ir 2.52-2.53
Ni 0.2539 0.5000 0.5000  2 Ni 2.16-2.22
Ni 0.7461 0.5000 0.5000  2 Ni 2.16-2.22
Ni 0.2424 0.5920 0.9232  4 Ni 2.40-2.54, 1 Li 2.41, 3 Ir 2.52-2.53
Ni 0.2424 0.9232 0.5920  4 Ni 2.40-2.54, 1 Li 2.41, 3 Ir 2.52-2.53
Ni 0.7576 0.4080 0.0768  4 Ni 2.40-2.54, 1 Li 2.41, 3 Ir 2.52-2.53
Ni 0.0000 0.0000 0.0000  4 Ni 2.40, 4 Li 2.65
Li 0.5000 0.8026 0.1974  6 Ni 2.41-2.65, 2 Ir 2.53
Li 0.5000 0.1974 0.8026  6 Ni 2.41-2.65, 2 Ir 2.53

For the spin magnetization, the calculation gives 3.60 μB per formula unit. The calculation puts the formation enthalpy at 0 K at 176 meV per atom.

Entry from the Alexandria database: LiNi2Ir after structural relaxation (PBE).

Cell: 2.6433 2.6433 8.5282 Å, 81.08 81.08 60.00°
With the nearest neighbours (Å) after each atom.
Positions (direct):
Ir 0.5001 0.5001 0.4997  6 Ni 2.57, 6 Ir 2.64
Ni 0.2487 0.2487 0.2538  3 Ir 2.57, 3 Li 2.62, 6 Ni 2.64
Ni 0.0847 0.0847 0.7458  3 Ir 2.57, 3 Li 2.63, 6 Ni 2.64
Li 0.6664 0.6664 0.0007  6 Ni 2.62-2.63, 6 Li 2.64

For the spin magnetization, the calculation gives 0.00 μB per formula unit. The calculation puts the formation enthalpy at 0 K at 48 meV per atom.

Number 1: Fermi-level density of states 17.1 states/eV/cell. Number 2: Fermi-level density of states 3.6 states/eV/cell.